[1]
{"formula": "PrIn2Au", "functional": "PBE-GGA", "state": "optimized geometry", "lattice": [[4.7128, 0.0000, 0.0000], [0.0000, 4.5976, 0.0000], [0.0000, 0.0000, 4.5976]], "species": ["Pr", "Au", "In", "In"], "fractional_positions": [[0.5000, 0.5000, 0.5000], [0.5000, 0.0000, 0.0000], [0.0000, 0.5000, 0.0000], [0.0000, 0.0000, 0.5000]], "magnetic_moment_mub_per_atom": 0.0000, "final_energy_ev_per_atom": -3.874, "e_form_ev_per_fu": -2.0, "spacegroup": "P4/mmm (123)"}

***

[2]
{"formula": "LaCdB", "functional": "PBE-GGA", "state": "optimized geometry", "lattice": [[-2.2988, 2.4711, -2.9717], [-3.7990, -2.0806, 1.2087], [-1.0608, 4.6694, 4.7034]], "species": ["La", "La", "Cd", "Cd", "B", "B"], "fractional_positions": [[0.5000, 0.0000, 0.7601], [0.0000, 0.5000, 0.2399], [0.5000, 0.0000, 0.2915], [0.0000, 0.5000, 0.7085], [0.0000, 0.0000, 0.5000], [0.5000, 0.5000, 0.5000]], "magnetic_moment_mub_per_atom": 0.0000, "final_energy_ev_per_atom": -3.964, "e_form_ev_per_fu": 0.6, "spacegroup": "P4/nmm (129)"}

***

[3]
{"formula": "Pr3PtAu2", "functional": "PBE-GGA", "state": "optimized geometry", "lattice": [[6.0950, 0.0000, 0.0000], [0.0000, 8.4772, 0.0061], [-3.0475, -2.1175, 6.6607]], "species": ["Au", "Au", "Au", "Au", "Pr", "Pr", "Pr", "Pr", "Pr", "Pr", "Pt", "Pt"], "fractional_positions": [[0.3290, 0.9140, 0.6563], [0.3273, 0.4140, 0.6563], [0.6710, 0.0860, 0.3437], [0.6727, 0.5860, 0.3437], [0.4997, 0.7500, 0.0000], [0.5003, 0.2500, 0.0000], [0.1525, 0.0768, 0.3067], [0.8475, 0.9232, 0.6933], [0.8457, 0.4232, 0.6933], [0.1543, 0.5768, 0.3067], [0.9997, 0.7500, 0.0000], [0.0003, 0.2500, 0.0000]], "magnetic_moment_mub_per_atom": 0.0000, "final_energy_ev_per_atom": -5.290, "e_form_ev_per_fu": -4.8, "spacegroup": "C2/c (15)"}

***

[4]
{"formula": "Te2AsBr", "functional": "PBE-GGA", "state": "optimized geometry", "lattice": [[-1.0678, 3.0068, 2.5723], [-2.7948, -0.5258, 2.9513], [6.3426, -2.5314, 5.3073]], "species": ["Br", "Te", "Te", "As"], "fractional_positions": [[0.2500, 0.2500, 0.2500], [0.4207, 0.4207, 0.5494], [0.0793, 0.0793, 0.9506], [0.7500, 0.7500, 0.7500]], "magnetic_moment_mub_per_atom": 0.0000, "final_energy_ev_per_atom": -3.139, "formation_energy_uncorrected_mev_per_atom": 13, "spacegroup": "C2/m (12)"}

***

[5]
{"formula": "Sr2FeBr", "functional": "PBE-GGA", "state": "optimized geometry", "lattice": [[6.3540, -0.0555, -0.0006], [5.2234, 3.6184, -0.0006], [0.0072, 0.0022, 5.2528]], "species": ["Sr", "Sr", "Br", "Fe"], "fractional_positions": [[0.7439, 0.7439, 0.6246], [0.0110, 0.0110, 0.1255], [0.4790, 0.4790, 0.6258], [0.2660, 0.2660, 0.1242]], "magnetic_moment_mub_per_atom": 0.4699, "final_energy_ev_per_atom": -3.575, "formation_energy_uncorrected_mev_per_atom": -200, "spacegroup": "Cm (8)"}

***

[6]
{"formula": "Pm7PtPb2", "functional": "PBE-GGA", "state": "optimized geometry", "lattice": [[-4.0599, 6.4598, -2.0331], [-5.2685, -0.3335, -5.8717], [-7.7194, 0.4746, 1.5905]], "species": ["Pm", "Pm", "Pm", "Pm", "Pm", "Pm", "Pm", "Pb", "Pb", "Pt"], "fractional_positions": [[0.2455, 0.7545, 0.2455], [0.2455, 0.7545, 0.7545], [0.2455, 0.2455, 0.7545], [0.5000, 0.5000, 0.5000], [0.7545, 0.7545, 0.2455], [0.7545, 0.2455, 0.7545], [0.7545, 0.2455, 0.2455], [0.2500, 0.2500, 0.2500], [0.7500, 0.7500, 0.7500], [0.0000, 0.0000, 0.0000]], "magnetic_moment_mub_per_atom": 0.0000, "final_energy_ev_per_atom": -4.642, "e_form_ev_per_fu": 0.3, "spacegroup": "Fm-3m (225)"}

***

[7]
{"formula": "PmY7Ho4", "functional": "PBE-GGA", "state": "optimized geometry", "lattice": [[6.0460, -1.3161, 2.8674], [1.1462, 5.9262, 2.4771], [2.6644, -1.8612, 11.2770]], "species": ["Y", "Y", "Y", "Y", "Y", "Y", "Y", "Ho", "Ho", "Ho", "Ho", "Pm"], "fractional_positions": [[0.0549, 0.3189, 0.6390], [0.2800, 0.8105, 0.6123], [0.5000, 0.0000, 0.0000], [0.7200, 0.1895, 0.3877], [0.9451, 0.6811, 0.3610], [0.2013, 0.4839, 0.0500], [0.7987, 0.5161, 0.9500], [0.5261, 0.6402, 0.2858], [0.4739, 0.3598, 0.7142], [0.3060, 0.1619, 0.3104], [0.6940, 0.8381, 0.6896], [0.0000, 0.0000, 0.0000]], "magnetic_moment_mub_per_atom": 0.0000, "final_energy_ev_per_atom": -5.606, "e_form_ev_per_fu": 1.0, "spacegroup": "P-1 (2)"}

***

[8]
{"formula": "DyBe2SiPd2", "functional": "PBE-GGA", "state": "optimized geometry", "lattice": [[4.1226, 0.0000, 0.0000], [0.0000, 4.1226, 0.0000], [0.0000, 0.0000, 5.6106]], "species": ["Be", "Be", "Pd", "Pd", "Si", "Dy"], "fractional_positions": [[0.5000, 0.0000, 0.0000], [0.0000, 0.5000, 0.0000], [0.5000, 0.5000, 0.2511], [0.5000, 0.5000, 0.7489], [0.0000, 0.0000, 0.0000], [0.0000, 0.0000, 0.5000]], "magnetic_moment_mub_per_atom": 0.0000, "final_energy_ev_per_atom": -4.883, "formation_energy_uncorrected_mev_per_atom": -239, "spacegroup": "P4/mmm (123)"}

***

[9]
{"formula": "Au2S2I", "functional": "PBE-GGA", "state": "optimized geometry", "lattice": [[-2.3376, 3.9880, -2.0703], [-4.4687, -1.8191, 1.5416], [-2.8711, 3.9563, 4.6667]], "species": ["Au", "Au", "S", "S", "I"], "fractional_positions": [[0.7500, 0.2500, 0.5000], [0.2500, 0.7500, 0.5000], [0.2358, 0.2358, 0.5284], [0.7642, 0.7642, 0.4716], [0.0000, 0.0000, 0.0000]], "magnetic_moment_mub_per_atom": 0.0000, "final_energy_ev_per_atom": -3.079, "formation_energy_uncorrected_mev_per_atom": 193, "spacegroup": "I4/mmm (139)"}

***

[10]
{"formula": "TaFeGeTe2Pd", "functional": "PBE-GGA", "state": "optimized geometry", "lattice": [[-4.5116, -4.4433, 7.0362], [-2.6691, -1.0672, -2.3853], [5.9753, -4.6323, -4.6135]], "species": ["Ta", "Ta", "Ge", "Ge", "Pd", "Pd", "Fe", "Fe", "Te", "Te", "Te", "Te"], "fractional_positions": [[0.2105, 0.5000, 0.2051], [0.2105, 0.0000, 0.7051], [0.9101, 0.5000, 0.9172], [0.9101, 0.0000, 0.4172], [0.1245, 0.5000, 0.4541], [0.1245, 0.0000, 0.9541], [0.0164, 0.5000, 0.6923], [0.0164, 0.0000, 0.1923], [0.7138, 0.5000, 0.4552], [0.3669, 0.0000, 0.4799], [0.7138, 0.0000, 0.9552], [0.3669, 0.5000, 0.9799]], "magnetic_moment_mub_per_atom": 0.2716, "final_energy_ev_per_atom": -6.073, "formation_energy_uncorrected_mev_per_atom": -5, "spacegroup": "Cm (8)"}

***

[11]
{"formula": "BaCaGa2", "functional": "PBE-GGA", "state": "optimized geometry", "lattice": [[8.6724, 0.0000, 0.0000], [0.0000, 8.6724, 0.0000], [4.3362, 4.3362, 3.6344]], "species": ["Ga", "Ga", "Ga", "Ga", "Ca", "Ca", "Ba", "Ba"], "fractional_positions": [[0.5916, 0.1250, 0.2500], [0.8750, 0.8416, 0.7500], [0.1584, 0.6250, 0.2500], [0.3750, 0.4084, 0.7500], [0.5000, 0.5000, 0.0000], [0.2500, 0.7500, 0.5000], [0.0000, 0.0000, 0.0000], [0.7500, 0.2500, 0.5000]], "magnetic_moment_mub_per_atom": 0.0000, "final_energy_ev_per_atom": -2.495, "e_form_ev_per_fu": 0.0, "spacegroup": "I-42d (122)"}

***

[12]
{"formula": "LaWS2", "functional": "PBE-GGA", "state": "optimized geometry", "lattice": [[1.8947, 0.0000, 9.0784], [-0.9473, 1.6408, 9.0784], [-0.9473, -1.6408, 9.0784]], "species": ["S", "S", "La", "W"], "fractional_positions": [[0.1089, 0.1089, 0.1089], [0.8911, 0.8911, 0.8911], [0.0000, 0.0000, 0.0000], [0.5000, 0.5000, 0.5000]], "magnetic_moment_mub_per_atom": 0.0000, "final_energy_ev_per_atom": -6.949, "formation_energy_uncorrected_mev_per_atom": -416, "spacegroup": "R-3m (166)"}

***

What did the eleventh record say?
{"formula": "BaCaGa2", "functional": "PBE-GGA", "state": "optimized geometry", "lattice": [[8.6724, 0.0000, 0.0000], [0.0000, 8.6724, 0.0000], [4.3362, 4.3362, 3.6344]], "species": ["Ga", "Ga", "Ga", "Ga", "Ca", "Ca", "Ba", "Ba"], "fractional_positions": [[0.5916, 0.1250, 0.2500], [0.8750, 0.8416, 0.7500], [0.1584, 0.6250, 0.2500], [0.3750, 0.4084, 0.7500], [0.5000, 0.5000, 0.0000], [0.2500, 0.7500, 0.5000], [0.0000, 0.0000, 0.0000], [0.7500, 0.2500, 0.5000]], "magnetic_moment_mub_per_atom": 0.0000, "final_energy_ev_per_atom": -2.495, "e_form_ev_per_fu": 0.0, "spacegroup": "I-42d (122)"}

***

Repeat the tenth record exactly.
{"formula": "TaFeGeTe2Pd", "functional": "PBE-GGA", "state": "optimized geometry", "lattice": [[-4.5116, -4.4433, 7.0362], [-2.6691, -1.0672, -2.3853], [5.9753, -4.6323, -4.6135]], "species": ["Ta", "Ta", "Ge", "Ge", "Pd", "Pd", "Fe", "Fe", "Te", "Te", "Te", "Te"], "fractional_positions": [[0.2105, 0.5000, 0.2051], [0.2105, 0.0000, 0.7051], [0.9101, 0.5000, 0.9172], [0.9101, 0.0000, 0.4172], [0.1245, 0.5000, 0.4541], [0.1245, 0.0000, 0.9541], [0.0164, 0.5000, 0.6923], [0.0164, 0.0000, 0.1923], [0.7138, 0.5000, 0.4552], [0.3669, 0.0000, 0.4799], [0.7138, 0.0000, 0.9552], [0.3669, 0.5000, 0.9799]], "magnetic_moment_mub_per_atom": 0.2716, "final_energy_ev_per_atom": -6.073, "formation_energy_uncorrected_mev_per_atom": -5, "spacegroup": "Cm (8)"}